The following is a PBE calculation of Rb2MgTcO6 after structural relaxation, from Alexandria via LeMat-Bulk.

Output
size of the total moment = 1.1 μB/cell

Cell: 6.3056 6.3056 5.2839 Å, 90.00 90.00 120.00°
Space group P-3m1 (No. 164)
Inequivalent atoms, fractional coordinates:
Rb 0.3333 0.6667 0.2936 [2 per cell]
Mg 0.0000 0.0000 0.0000 [1 per cell]
Tc 0.0000 0.0000 0.5000 [1 per cell]
O 0.1379 0.2758 0.7193 [6 per cell]

The following is a PBE calculation of RbMgTeO4 after structural relaxation, from Alexandria via LeMat-Bulk.

Output
size of the total moment = 1.7 μB/cell

Cell: 5.804 5.930 7.808 Å, 90.00 105.07 90.00°
Space group P2_1/m (No. 11)
Inequivalent atoms, fractional coordinates:
Rb 0.087 0.250 0.143 [2 per cell]
Mg 0.161 0.750 0.470 [2 per cell]
Te 0.405 0.250 0.683 [2 per cell]
O 0.163 0.017 0.648 [4 per cell]
O 0.239 0.750 0.217 [2 per cell]
O 0.457 0.250 0.456 [2 per cell]

Mass density per entry: 3.55 3.86 g cm⁻³
Total energy per entry: -5.83 -5.17 eV per atom